[1]
## Pm3Dy2PuN6 (GGA-PBE)

Data for a relaxed Pm3Dy2PuN6 crystal.

Cell lengths 6.1100, 6.1100, 6.1379 Å; angles 99.58, 99.58, 119.95 degrees
Each line ends with the local moment (μB).
Fractional coordinates of all 12 atoms:
Pu 0.0000 0.0000 0.0000  4.28
N 0.2455 0.2455 0.7650  -0.07
Pm 0.8328 0.1672 0.5000  0.07
N 0.7545 0.7545 0.2350  -0.07
Dy 0.3336 0.6664 0.0000  0.06
Pm 0.1672 0.8328 0.5000  0.07
N 0.9220 0.5992 0.7658  -0.08
Dy 0.6664 0.3336 0.0000  0.06
Pm 0.5000 0.5000 0.5000  0.07
N 0.5992 0.9220 0.7658  -0.08
N 0.4008 0.0780 0.2342  -0.08
N 0.0780 0.4008 0.2342  -0.08

Properties
Total energy in eV/atom: -8.8033
ΔE_f (raw) in eV/atom: -1.492



[2]
## PmDyPuN3 (GGA-PBE)

Data for a relaxed PmDyPuN3 crystal.

Cell lengths 3.6339, 7.1353, 8.4387 Å; angles 97.91, 90.00, 90.00 degrees
Fractional coordinates of all 12 atoms:
Pm 0.7500 0.8364 0.8605
N 0.2500 0.1013 0.8475
Pm 0.2500 0.1636 0.1395
N 0.2500 0.6045 0.8756
Pu 0.7500 0.9438 0.4197
N 0.7500 0.3955 0.1244
Dy 0.7500 0.3694 0.8476
Pu 0.2500 0.0562 0.5803
Dy 0.2500 0.6306 0.1524
N 0.7500 0.2254 0.5778
N 0.2500 0.7746 0.4222
N 0.7500 0.8987 0.1525

Properties
Total energy in eV/atom: -9.1115
ΔE_f (raw) in eV/atom: -1.001



[3]
## Pm2Dy4Sb3N2 (GGA-PBE)

Data for a relaxed Pm2Dy4Sb3N2 crystal.

Cell lengths 4.6574, 4.6574, 13.1388 Å; angles 100.21, 100.21, 90.00 degrees
Fractional coordinates of all 11 atoms:
Sb 0.8231 0.8231 0.6462
Pm 0.3068 0.3068 0.6136
Dy 0.0827 0.5827 0.1654
Dy 0.5827 0.0827 0.1654
Dy 0.9173 0.4173 0.8346
Sb 0.0000 0.0000 0.0000
N 0.4011 0.4011 0.8022
Pm 0.6932 0.6932 0.3864
Dy 0.4173 0.9173 0.8346
N 0.5989 0.5989 0.1978
Sb 0.1769 0.1769 0.3538

Properties
Total energy in eV/atom: -6.3830
ΔE_f (raw) in eV/atom: -1.208



[4]
## Pm2DySbN4 (GGA-PBE)

Data for a relaxed Pm2DySbN4 crystal.

Cell lengths 3.5587, 6.1899, 6.1464 Å; angles 109.39, 90.00, 90.00 degrees
Fractional coordinates of all 8 atoms:
Sb 0.0000 0.0000 0.0000
N 0.0000 0.2594 0.7524
N 0.5000 0.2606 0.2539
N 0.0000 0.7406 0.2476
Pm 0.5000 0.0000 0.5000
N 0.5000 0.7394 0.7461
Dy 0.5000 0.5000 0.0000
Pm 0.0000 0.5000 0.5000

Properties
Total energy in eV/atom: -7.3741
ΔE_f (raw) in eV/atom: -0.933



[5]
## PmDySbN (GGA-PBE)

Data for a relaxed PmDySbN crystal.

Cell lengths 3.7342, 3.5947, 7.5497 Å; angles 103.75, 104.32, 90.00 degrees
Fractional coordinates of all 4 atoms:
Dy 0.6693 0.1275 0.3387
Sb 0.3173 0.7756 0.6347
N 0.5739 0.5322 0.1478
Pm 0.9743 0.4326 0.9485

Properties
Total energy in eV/atom: -6.5456
ΔE_f (raw) in eV/atom: -1.096



[6]
## PmDy2SiN4 (GGA-PBE)

Data for a relaxed PmDy2SiN4 crystal.

Cell lengths 3.3817, 6.0022, 11.5575 Å; angles 90.00, 90.00, 106.36 degrees
Fractional coordinates of all 16 atoms:
N 0.5938 0.1877 0.2500
Dy 0.6316 0.2632 0.0419
Dy 0.6316 0.2632 0.4581
N 0.2668 0.5336 0.1302
Si 0.1769 0.3537 0.2500
N 0.7332 0.4664 0.8698
Pm 0.9113 0.8227 0.2500
Dy 0.3684 0.7368 0.9581
Pm 0.0887 0.1773 0.7500
Dy 0.3684 0.7368 0.5419
N 0.7332 0.4664 0.6302
N 0.2668 0.5336 0.3698
N 0.0000 0.0000 0.0000
N 0.4062 0.8123 0.7500
N 0.0000 0.0000 0.5000
Si 0.8231 0.6463 0.7500

Properties
Total energy in eV/atom: -7.9211
ΔE_f (raw) in eV/atom: -1.336



[7]
## PmSm2DyN4 (GGA-PBE)

Data for a relaxed PmSm2DyN4 crystal.

Cell lengths 3.5683, 6.1773, 6.1766 Å; angles 109.42, 90.00, 90.00 degrees
Fractional coordinates of all 8 atoms:
Dy 0.5000 0.5000 0.0000
N 0.5000 0.7465 0.7514
Sm 0.0000 0.5000 0.5000
Pm 0.0000 0.0000 0.0000
N 0.0000 0.7450 0.2460
N 0.0000 0.2550 0.7540
Sm 0.5000 0.0000 0.5000
N 0.5000 0.2535 0.2486

Properties
Total energy in eV/atom: -8.0278
ΔE_f (raw) in eV/atom: -1.516



[8]
## PmDy2SnN4 (GGA-PBE)

Data for a relaxed PmDy2SnN4 crystal.

Cell lengths 3.5397, 6.1558, 12.1031 Å; angles 90.00, 90.00, 106.71 degrees
Fractional coordinates of all 16 atoms:
Dy 0.3708 0.7416 0.9659
N 0.7353 0.4707 0.6217
Dy 0.3708 0.7416 0.5341
Sn 0.8564 0.7128 0.7500
N 0.0000 0.0000 0.5000
N 0.0000 0.0000 0.0000
Dy 0.6292 0.2584 0.0341
N 0.4568 0.9136 0.7500
N 0.2647 0.5293 0.1217
Pm 0.8796 0.7592 0.2500
N 0.5432 0.0864 0.2500
Pm 0.1204 0.2408 0.7500
Sn 0.1436 0.2872 0.2500
N 0.7353 0.4707 0.8783
N 0.2647 0.5293 0.3783
Dy 0.6292 0.2584 0.4659

Properties
Total energy in eV/atom: -7.2881
ΔE_f (raw) in eV/atom: -0.881



[9]
## Pm2DySnN4 (GGA-PBE)

Data for a relaxed Pm2DySnN4 crystal.

Cell lengths 3.5456, 6.1626, 6.0977 Å; angles 109.95, 90.00, 90.00 degrees
Fractional coordinates of all 8 atoms:
N 0.0000 0.7403 0.2468
Pm 0.0000 0.5000 0.5000
N 0.5000 0.2533 0.2449
Dy 0.5000 0.5000 0.0000
N 0.0000 0.2597 0.7532
N 0.5000 0.7467 0.7551
Pm 0.5000 0.0000 0.5000
Sn 0.0000 0.0000 0.0000

Properties
Total energy in eV/atom: -7.3720
ΔE_f (raw) in eV/atom: -0.946



[10]
## Pm2DyTe2N2 (GGA-PBE)

Data for a relaxed Pm2DyTe2N2 crystal.

Cell lengths 4.4158, 4.4158, 8.7337 Å; angles 104.64, 104.64, 90.00 degrees
Fractional coordinates of all 7 atoms:
N 0.0000 0.5000 0.0000
Pm 0.3970 0.3970 0.7940
Pm 0.6030 0.6030 0.2060
Dy 0.0000 0.0000 0.0000
Te 0.8132 0.8132 0.6264
N 0.5000 0.0000 0.0000
Te 0.1868 0.1868 0.3736

Properties
Total energy in eV/atom: -6.4906
ΔE_f (raw) in eV/atom: -1.200



[11]
## PmDy3Th2N6 (GGA-PBE)

Data for a relaxed PmDy3Th2N6 crystal.

Cell lengths 3.5706, 7.1261, 7.9570 Å; angles 102.83, 102.97, 90.00 degrees
Fractional coordinates of all 12 atoms:
Dy 0.5000 0.5000 0.0000
N 0.3343 0.4154 0.6686
Pm 0.5000 0.0000 0.0000
N 0.3309 0.9167 0.6619
Th 0.8347 0.6704 0.6695
N 0.9992 0.7420 0.9984
N 0.0008 0.2580 0.0016
Dy 0.1647 0.8344 0.3294
N 0.6691 0.0833 0.3381
N 0.6657 0.5846 0.3314
Dy 0.8353 0.1656 0.6706
Th 0.1653 0.3296 0.3305

Properties
Total energy in eV/atom: -8.5656
ΔE_f (raw) in eV/atom: -1.620



[12]
## Pm4DyTh3N8 (GGA-PBE)

Data for a relaxed Pm4DyTh3N8 crystal.

Cell lengths 7.2416, 7.2341, 7.2419 Å; angles 120.04, 120.00, 90.00 degrees
Fractional coordinates of all 16 atoms:
Pm 0.0000 0.0000 0.5000
N 0.7462 0.7384 0.9923
Pm 0.5000 0.0000 0.5000
N 0.7469 0.7407 0.4938
N 0.7539 0.2616 0.0077
Dy 0.0000 0.5000 0.0000
N 0.7537 0.2614 0.5075
N 0.2538 0.2616 0.0077
N 0.2461 0.7384 0.9923
Th 0.0000 0.5000 0.5000
Th 0.5000 0.5000 0.0000
N 0.2531 0.2593 0.5062
N 0.2463 0.7386 0.4925
Pm 0.5000 0.0000 0.0000
Pm 0.0000 0.0000 0.0000
Th 0.5000 0.5000 0.5000

Properties
Total energy in eV/atom: -8.5902
ΔE_f (raw) in eV/atom: -1.561